Record 1
Entry from Alexandria via LeMat-Bulk: a relaxed structure of Nd5Ho2Er (GGA-PBE).

Cell lengths 5.122, 7.232, 14.473 Å; angles 90.00, 90.00, 90.00 degrees
Element x y z (fractional)
Nd1 0.000 0.000 0.000
Nd2 0.000 0.500 0.500
Nd3 0.000 0.503 0.752
Nd4 0.000 0.497 0.248
Nd5 0.000 0.997 0.252
Nd6 0.000 0.003 0.748
Nd7 0.500 0.253 0.876
Nd8 0.500 0.747 0.124
Nd9 0.500 0.247 0.376
Nd10 0.500 0.753 0.624
Ho1 0.500 0.251 0.624
Ho2 0.500 0.749 0.376
Ho3 0.500 0.249 0.124
Ho4 0.500 0.751 0.876
Er1 0.000 0.000 0.500
Er2 0.000 0.500 0.000

Values from the calculation:
Total energy   -37.420 eV/f.u.
Energy above the most stable polymorph in this dataset   0 meV/atom
Calculated formation energy   1.7 kJ per mole of atoms

=====

Record 2
Entry from Alexandria via LeMat-Bulk: a relaxed structure of Nd6HoEr3 (GGA-PBE).

Cell lengths 5.520, 10.292, 12.636 Å; angles 90.00, 104.39, 90.00 degrees
Element x y z (fractional)
Nd1 0.434 0.828 0.854
Nd2 0.498 0.816 0.505
Nd3 0.338 0.496 0.231
Nd4 0.662 0.504 0.769
Nd5 0.502 0.184 0.495
Nd6 0.566 0.172 0.146
Nd7 0.934 0.672 0.354
Nd8 0.998 0.684 0.005
Nd9 0.838 0.004 0.731
Nd10 0.162 0.996 0.269
Nd11 0.002 0.316 0.995
Nd12 0.066 0.328 0.646
Ho1 0.500 0.500 0.500
Ho2 0.000 0.000 0.000
Er1 0.443 0.168 0.866
Er2 0.500 0.500 0.000
Er3 0.557 0.832 0.134
Er4 0.943 0.332 0.366
Er5 0.000 0.000 0.500
Er6 0.057 0.668 0.634

Values from the calculation:
Total energy   -44.686 eV/f.u.
Energy above the most stable polymorph in this dataset   76 meV/atom
Calculated formation energy   21.1 kJ per mole of atoms

=====

Record 3
Entry from Alexandria via LeMat-Bulk: a relaxed structure of Nd3Ho7Er2 (GGA-PBE).

Cell lengths 6.479, 6.479, 11.910 Å; angles 74.22, 74.22, 60.00 degrees
Element x y z (fractional)
Nd1 0.000 0.000 0.000
Nd2 0.156 0.156 0.532
Nd3 0.844 0.844 0.468
Ho1 0.500 0.500 0.500
Ho2 0.083 0.584 0.749
Ho3 0.584 0.584 0.749
Ho4 0.584 0.083 0.749
Ho5 0.917 0.416 0.251
Ho6 0.416 0.917 0.251
Ho7 0.416 0.416 0.251
Er1 0.333 0.333 0.000
Er2 0.667 0.667 0.000

Values from the calculation:
Total energy   -51.999 eV/f.u.
Energy above the most stable polymorph in this dataset   201 meV/atom
Calculated formation energy   27.9 kJ per mole of atoms

=====

Record 4
Entry from Alexandria via LeMat-Bulk: a relaxed structure of NdHo2Er2 (GGA-PBE).

Cell lengths 9.352, 9.352, 3.692 Å; angles 90.00, 90.00, 90.00 degrees
Element x y z (fractional)
Nd1 0.000 0.000 0.000
Nd2 0.500 0.500 0.000
Ho1 0.125 0.625 0.000
Ho2 0.625 0.875 0.000
Ho3 0.875 0.375 0.000
Ho4 0.375 0.125 0.000
Er1 0.328 0.828 0.500
Er2 0.828 0.672 0.500
Er3 0.672 0.172 0.500
Er4 0.172 0.328 0.500

Values from the calculation:
Total energy   -22.630 eV/f.u.
Energy above the most stable polymorph in this dataset   0 meV/atom
Calculated formation energy   8.1 kJ per mole of atoms

=====

Record 5
Entry from Alexandria via LeMat-Bulk: a relaxed structure of NdHo8Er5 (GGA-PBE).

Cell lengths 8.381, 8.381, 8.381 Å; angles 111.53, 105.44, 111.53 degrees
Element x y z (fractional)
Nd1 0.250 0.500 0.750
Ho1 0.164 0.740 0.081
Ho2 0.919 0.083 0.659
Ho3 0.722 0.252 0.327
Ho4 0.673 0.394 0.925
Ho5 0.531 0.606 0.278
Ho6 0.576 0.917 0.836
Ho7 0.341 0.260 0.424
Ho8 0.075 0.748 0.469
Er1 0.040 0.322 0.136
Er2 0.864 0.904 0.187
Er3 0.813 0.678 0.718
Er4 0.500 0.000 0.500
Er5 0.282 0.096 0.960

Values from the calculation:
Total energy   -60.702 eV/f.u.
Calculated formation energy   24.1 kJ per mole of atoms

=====

Record 6
Entry from Alexandria via LeMat-Bulk: a relaxed structure of Nd2Ho5Er4 (GGA-PBE).

Cell lengths 3.547, 9.382, 11.752 Å; angles 106.54, 81.36, 112.24 degrees
Element x y z (fractional)
Nd1 0.863 0.273 0.818
Nd2 0.137 0.727 0.182
Ho1 0.956 0.093 0.273
Ho2 0.044 0.907 0.727
Ho3 0.589 0.817 0.456
Ho4 0.500 0.000 0.000
Ho5 0.411 0.183 0.544
Er1 0.772 0.454 0.364
Er2 0.315 0.361 0.093
Er3 0.228 0.546 0.636
Er4 0.685 0.639 0.907

Values from the calculation:
Total energy   -50.442 eV/f.u.
Energy above the most stable polymorph in this dataset   0 meV/atom
Calculated formation energy   2.1 kJ per mole of atoms

=====

Record 7
Entry from Alexandria via LeMat-Bulk: a relaxed structure of Nd3Ho5Er4 (GGA-PBE).

Cell lengths 5.897, 8.500, 9.633 Å; angles 105.90, 72.18, 69.70 degrees
Element x y z (fractional)
Nd1 0.522 0.687 0.270
Nd2 0.000 0.500 0.500
Nd3 0.478 0.313 0.730
Ho1 0.623 0.951 0.804
Ho2 0.500 0.500 0.500
Ho3 0.216 0.457 0.112
Ho4 0.784 0.543 0.888
Ho5 0.377 0.049 0.196
Er1 0.860 0.222 0.059
Er2 0.167 0.041 0.624
Er3 0.833 0.959 0.376
Er4 0.140 0.778 0.941

Values from the calculation:
Total energy   -52.533 eV/f.u.
Energy above the most stable polymorph in this dataset   223 meV/atom
Calculated formation energy   23.4 kJ per mole of atoms

=====

Record 8
Entry from Alexandria via LeMat-Bulk: a relaxed structure of NdHo5Er4 (GGA-PBE).

Cell lengths 6.286, 7.820, 7.820 Å; angles 80.70, 66.30, 66.30 degrees
Element x y z (fractional)
Nd1 0.223 0.000 0.000
Ho1 0.806 0.378 0.909
Ho2 0.184 0.909 0.622
Ho3 0.715 0.091 0.378
Ho4 0.093 0.622 0.091
Ho5 0.678 0.000 0.000
Er1 0.402 0.400 0.702
Er2 0.802 0.702 0.600
Er3 0.104 0.298 0.400
Er4 0.504 0.600 0.298

Values from the calculation:
Total energy   -42.826 eV/f.u.
Calculated formation energy   29.7 kJ per mole of atoms

=====

Record 9
Entry from Alexandria via LeMat-Bulk: a relaxed structure of Nd3Ho4Er4 (GGA-PBE).

Cell lengths 5.685, 6.640, 10.565 Å; angles 90.00, 90.00, 115.35 degrees
Element x y z (fractional)
Nd1 0.408 0.815 0.292
Nd2 0.408 0.815 0.708
Nd3 0.255 0.510 0.000
Ho1 0.752 0.503 0.785
Ho2 0.752 0.503 0.215
Ho3 0.890 0.779 0.500
Ho4 0.957 0.913 0.000
Er1 0.617 0.233 0.500
Er2 0.556 0.112 0.000
Er3 0.103 0.206 0.705
Er4 0.103 0.206 0.295

Values from the calculation:
Total energy   -49.116 eV/f.u.
Energy above the most stable polymorph in this dataset   0 meV/atom
Calculated formation energy   15.4 kJ per mole of atoms

=====

Record 10
Entry from Alexandria via LeMat-Bulk: a relaxed structure of Nd5Ho2Er (GGA-PBE).

Cell lengths 14.049, 14.049, 12.695 Å; angles 51.02, 51.02, 99.45 degrees
Element x y z (fractional)
Nd1 0.585 0.415 0.750
Nd2 0.415 0.585 0.250
Nd3 0.174 0.456 0.221
Nd4 0.801 0.984 0.252
Nd5 0.456 0.174 0.721
Nd6 0.016 0.199 0.248
Nd7 0.984 0.801 0.752
Nd8 0.199 0.016 0.748
Nd9 0.544 0.826 0.279
Nd10 0.826 0.544 0.779
Ho1 0.500 0.000 0.000
Ho2 0.500 0.500 0.000
Ho3 0.500 0.500 0.500
Ho4 0.000 0.500 0.500
Er1 0.749 0.251 0.250
Er2 0.251 0.749 0.750

Values from the calculation:
Total energy   -34.963 eV/f.u.
Energy above the most stable polymorph in this dataset   307 meV/atom
Calculated formation energy   31.3 kJ per mole of atoms

=====

Record 11
Entry from Alexandria via LeMat-Bulk: a relaxed structure of NdHo7Er12 (GGA-PBE).

Cell lengths 8.614, 8.614, 8.614 Å; angles 95.21, 95.21, 95.21 degrees
Element x y z (fractional)
Nd1 0.000 0.000 0.000
Ho1 0.920 0.649 0.987
Ho2 0.351 0.013 0.080
Ho3 0.013 0.080 0.351
Ho4 0.500 0.500 0.500
Ho5 0.987 0.920 0.649
Ho6 0.649 0.987 0.920
Ho7 0.080 0.351 0.013
Er1 0.808 0.251 0.678
Er2 0.749 0.322 0.192
Er3 0.475 0.145 0.412
Er4 0.855 0.588 0.525
Er5 0.322 0.192 0.749
Er6 0.588 0.525 0.855
Er7 0.412 0.475 0.145
Er8 0.678 0.808 0.251
Er9 0.145 0.412 0.475
Er10 0.525 0.855 0.588
Er11 0.251 0.678 0.808
Er12 0.192 0.749 0.322

Values from the calculation:
Total energy   -85.329 eV/f.u.
Energy above the most stable polymorph in this dataset   0 meV/atom
Calculated formation energy   30.1 kJ per mole of atoms

=====

Record 12
Entry from Alexandria via LeMat-Bulk: a relaxed structure of Nd6Ho8Er (GGA-PBE).

Cell lengths 9.096, 9.096, 8.712 Å; angles 58.53, 58.53, 60.00 degrees
Element x y z (fractional)
Nd1 0.462 0.897 0.869
Nd2 0.103 0.228 0.131
Nd3 0.228 0.538 0.131
Nd4 0.772 0.462 0.869
Nd5 0.897 0.772 0.869
Nd6 0.538 0.103 0.131
Ho1 0.718 0.112 0.421
Ho2 0.888 0.251 0.579
Ho3 0.251 0.282 0.579
Ho4 0.577 0.577 0.269
Ho5 0.423 0.423 0.731
Ho6 0.749 0.718 0.421
Ho7 0.112 0.749 0.421
Ho8 0.282 0.888 0.579
Er1 0.000 0.000 0.000

Values from the calculation:
Total energy   -68.002 eV/f.u.
Energy above the most stable polymorph in this dataset   0 meV/atom
Calculated formation energy   11.5 kJ per mole of atoms